Record 1
Computed, not measured: an optimized crystal structure of ErAl2GaPd4 at the PBE level of DFT.

```
ErAl2GaPd4
1.0
-0.132 -1.319 -4.108
3.630 -0.171 -2.329
2.395 -8.388 0.348
Er Al Ga Pd
1 2 1 4
Direct
0.000 0.000 0.000 Er
0.756 0.756 0.731 Al
0.244 0.244 0.269 Al
0.500 0.500 0.500 Ga
0.399 0.399 0.802 Pd
0.868 0.868 0.396 Pd
0.132 0.132 0.604 Pd
0.601 0.601 0.198 Pd
```

## Properties
Formation energy from the elements ... -6.43 eV per formula unit
V ... 16.88 Å³ per atom

***

Record 2
Computed, not measured: an optimized crystal structure of Er2AlGa2Pd5 at the PBE level of DFT.

```
Er2AlGa2Pd5
1.0
3.472 0.000 0.000
0.000 10.085 0.000
0.000 0.000 10.085
Er Al Ga Pd
4 2 4 10
Direct
0.000 0.674 0.174 Er
0.000 0.326 0.826 Er
0.000 0.174 0.326 Er
0.000 0.826 0.674 Er
0.000 0.000 0.000 Al
0.000 0.500 0.500 Al
0.000 0.127 0.627 Ga
0.000 0.873 0.373 Ga
0.000 0.627 0.873 Ga
0.000 0.373 0.127 Ga
0.500 0.199 0.048 Pd
0.500 0.801 0.952 Pd
0.500 0.048 0.801 Pd
0.500 0.699 0.452 Pd
0.500 0.952 0.199 Pd
0.500 0.301 0.548 Pd
0.500 0.548 0.699 Pd
0.500 0.452 0.301 Pd
0.500 0.500 0.000 Pd
0.500 0.000 0.500 Pd
```

## Properties
Formation energy from the elements ... -7.77 eV per formula unit
V ... 17.65 Å³ per atom

***

Record 3
Computed, not measured: an optimized crystal structure of Er2AlGa4Pd3 at the PBE level of DFT.

```
Er2AlGa4Pd3
1.0
-0.229 -3.803 -1.218
2.499 -1.088 2.927
-8.982 -1.711 7.032
Er Al Ga Pd
2 1 4 3
Direct
0.500 0.000 0.251 Er
0.000 0.500 0.749 Er
0.500 0.500 0.500 Al
0.500 0.500 0.000 Ga
0.000 0.000 0.000 Ga
0.500 0.000 0.642 Ga
0.000 0.500 0.358 Ga
0.000 0.000 0.500 Pd
0.500 0.000 0.857 Pd
0.000 0.500 0.143 Pd
```

## Properties
Formation energy from the elements ... -7.32 eV per formula unit
V ... 18.45 Å³ per atom

***

Record 4
Computed, not measured: an optimized crystal structure of Er2Al4GaPd3 at the PBE level of DFT.

```
Er2Al4GaPd3
1.0
4.156 0.000 0.000
0.000 4.156 0.000
0.000 0.000 10.744
Er Al Ga Pd
2 4 1 3
Direct
0.500 0.000 0.247 Er
0.000 0.500 0.753 Er
0.500 0.500 0.000 Al
0.000 0.000 0.000 Al
0.500 0.000 0.640 Al
0.000 0.500 0.360 Al
0.500 0.500 0.500 Ga
0.000 0.000 0.500 Pd
0.500 0.000 0.866 Pd
0.000 0.500 0.134 Pd
```

## Properties
Formation energy from the elements ... -7.62 eV per formula unit
V ... 18.55 Å³ per atom